(1)
Density functional theory data (PBEsol) for TcC after structural relaxation.

Results
For the formation energy from the elements, the calculation gives 757 meV/atom. The calculation puts the density of states at the Fermi level at 1.999 states/eV per cell. Its energy is -9.698 eV/atom.

a = 2.8345 Å, b = 2.8345 Å, c = 4.9952 Å
α = 90.00°, β = 90.00°, γ = 90.00°
With the nearest neighbours (Å) after each atom.
Space group P4/nmm (No. 129, origin choice 2)
Symmetry-distinct sites (fractional):
Tc1 0.2500 0.2500 0.1909 (multiplicity 2)  4 C 2.10
C1 0.2500 0.7500 0.5000 (multiplicity 2)  4 C 2.00, 4 Tc 2.10

=====

(2)
Density functional theory data (PBEsol) for Tc3C after structural relaxation.

Results
For the formation energy from the elements, the calculation gives 259 meV/atom. The calculation puts the density of states at the Fermi level at 5.320 states/eV per cell. Its energy is -10.602 eV/atom.

a = 2.7101 Å, b = 4.2738 Å, c = 8.1319 Å
α = 90.00°, β = 90.00°, γ = 90.00°
With the nearest neighbours (Å) after each atom.
Space group Immm (No. 71)
Symmetry-distinct sites (fractional):
Tc1 0.0000 0.0000 0.0000 (multiplicity 2)  4 C 2.53, 10 Tc 2.68-2.80
Tc2 0.0000 0.5000 0.1987 (multiplicity 4)  2 C 2.11
C1 0.0000 0.0000 0.5000 (multiplicity 2)  4 Tc 2.11

=====

(3)
Density functional theory data (PBEsol) for Tc3C after structural relaxation.

Results
For the formation energy from the elements, the calculation gives 290 meV/atom. The calculation puts the density of states at the Fermi level at 2.658 states/eV per cell. Its energy is -10.571 eV/atom.

a = 2.6810 Å, b = 2.6810 Å, c = 6.4527 Å
α = 90.00°, β = 90.00°, γ = 90.00°
With the nearest neighbours (Å) after each atom.
Space group P4/mmm (No. 123)
Symmetry-distinct sites (fractional):
Tc1 0.0000 0.0000 0.0000 (multiplicity 1)  12 Tc 2.68-2.72
Tc2 0.5000 0.5000 0.3028 (multiplicity 2)  4 C 2.28, 1 Tc 2.54
C1 0.0000 0.0000 0.5000 (multiplicity 1)  8 Tc 2.28

=====

What is the formula in the second record? Tc3C

=====

The lowest energy belongs to which entry? number 2